(1)
Density functional theory data (PBE-GGA) for LiTbZn4 after structural relaxation.

Lattice parameters (Å, degrees): 7.534 7.534 7.534 90.00 90.00 90.00
Space group F-43m (No. 216)
One atom of each set of equivalent atoms:
Li 0.000 0.000 0.000 (multiplicity 4)
Tb 0.250 0.250 0.750 (multiplicity 4)
Zn 0.125 0.125 0.375 (multiplicity 16)

## Properties
* spin magnetization: 0.00 μB per cell
* energy above the most stable polymorph in this dataset: 2 meV per atom
* ΔH_f (0 K): -0.242 eV per atom
* E_tot: -52.4 eV for the cell shown

***

(2)
Density functional theory data (PBE-GGA) for LiTb8Zn2 after structural relaxation.

Lattice parameters (Å, degrees): 17.730 5.156 6.931 90.00 106.70 90.00
Space group C2/m (No. 12)
One atom of each set of equivalent atoms:
Li 0.000 0.000 0.000 (multiplicity 2)
Tb 0.029 0.500 0.770 (multiplicity 4)
Tb 0.093 0.000 0.466 (multiplicity 4)
Tb 0.168 0.000 0.971 (multiplicity 4)
Tb 0.194 0.500 0.306 (multiplicity 4)
Zn 0.187 0.500 0.716 (multiplicity 4)

## Properties
* spin magnetization: 0.00 μB per cell
* ΔH_f (0 K): -0.066 eV per atom
* E_tot: -84.5 eV for the cell shown

***

(3)
Density functional theory data (PBE-GGA) for Li4TbZn after structural relaxation.

Lattice parameters (Å, degrees): 7.646 7.646 7.646 90.00 90.00 90.00
Space group F-43m (No. 216)
One atom of each set of equivalent atoms:
Li 0.123 0.123 0.377 (multiplicity 16)
Tb 0.000 0.000 0.000 (multiplicity 4)
Zn 0.250 0.250 0.750 (multiplicity 4)

## Properties
* spin magnetization: 0.00 μB per cell
* ΔH_f (0 K): 0.018 eV per atom
* E_tot: -53.8 eV for the cell shown

***

(4)
Density functional theory data (PBE-GGA) for LiTb4Zn2 after structural relaxation.

Lattice parameters (Å, degrees): 5.0520 5.0520 24.3379 90.00 90.00 120.00
Space group R-3m (No. 166, hexagonal axes)
One atom of each set of equivalent atoms:
Li 0.0000 0.0000 0.0000 (multiplicity 3)
Tb 0.0000 0.0000 0.1306 (multiplicity 6)
Tb 0.0000 0.0000 0.3826 (multiplicity 6)
Zn 0.0000 0.0000 0.2560 (multiplicity 6)

## Properties
* spin magnetization: 0.00 μB per cell
* ΔH_f (0 K): -0.071 eV per atom
* E_tot: -70.4 eV for the cell shown

***

(5)
Density functional theory data (PBE-GGA) for Li2Tb3Zn7 after structural relaxation.

Lattice parameters (Å, degrees): 5.4227 5.4227 26.0940 90.00 90.00 120.00
Space group R-3m (No. 166, hexagonal axes)
One atom of each set of equivalent atoms:
Li 0.0000 0.0000 0.1671 (multiplicity 6)
Tb 0.0000 0.0000 0.3633 (multiplicity 6)
Tb 0.0000 0.0000 0.5000 (multiplicity 3)
Zn 0.0000 0.0000 0.0000 (multiplicity 3)
Zn 0.0022 0.5011 0.4186 (multiplicity 18)

## Properties
* spin magnetization: 0.00 μB per cell
* ΔH_f (0 K): -0.281 eV per atom
* E_tot: -90.0 eV for the cell shown

***

(6)
Density functional theory data (PBE-GGA) for LiTbZn4 after structural relaxation.

Lattice parameters (Å, degrees): 6.468 15.536 4.362 90.00 90.00 90.00
Space group Cmcm (No. 63)
One atom of each set of equivalent atoms:
Li 0.000 0.141 0.250 (multiplicity 4)
Tb 0.000 0.389 0.750 (multiplicity 4)
Zn 0.205 0.044 0.750 (multiplicity 8)
Zn 0.235 0.209 0.750 (multiplicity 8)

## Properties
* spin magnetization: 0.00 μB per cell
* energy above the most stable polymorph in this dataset: 0 meV per atom
* ΔH_f (0 K): -0.244 eV per atom
* E_tot: -52.4 eV for the cell shown